Record 1
{
  "formula": "HfCrPd3",
  "functional": "GGA-PBE",
  "state": "relaxed",
  "lattice_angstrom": [[4.806, 0.000, 0.000], [0.000, 4.806, 0.000], [0.000, 0.000, 4.806]],
  "species": ["Hf", "Cr", "Pd", "Pd", "Pd"],
  "fractional_positions": [[0.000, 0.000, 0.000], [0.500, 0.500, 0.500], [0.000, 0.000, 0.500], [0.000, 0.500, 0.000], [0.500, 0.000, 0.000]],
  "ef_ev_per_atom": 1.176,
  "crystal_system": "cubic",
  "volume_a3_per_atom": 22.20
}

---

Record 2
{
  "formula": "Hf2CrPd",
  "functional": "GGA-PBE",
  "state": "relaxed",
  "lattice_angstrom": [[-2.075, 2.075, 9.301], [2.075, -2.075, 9.301], [2.075, 2.075, -9.301]],
  "species": ["Hf", "Hf", "Hf", "Hf", "Cr", "Cr", "Pd", "Pd"],
  "fractional_positions": [[0.125, 0.625, 0.000], [0.375, 0.375, 0.500], [0.625, 0.125, 0.000], [0.875, 0.875, 0.500], [0.000, 0.000, 0.000], [0.750, 0.250, 0.500], [0.250, 0.750, 0.500], [0.500, 0.500, 0.000]],
  "ef_ev_per_atom": 0.418,
  "crystal_system": "tetragonal",
  "volume_a3_per_atom": 20.03
}

---

Record 3
{
  "formula": "HfCr3Pd",
  "functional": "GGA-PBE",
  "state": "relaxed",
  "lattice_angstrom": [[4.474, 0.000, 0.000], [0.000, 4.474, 0.000], [0.000, 0.000, 4.474]],
  "species": ["Hf", "Cr", "Cr", "Cr", "Pd"],
  "fractional_positions": [[0.000, 0.000, 0.000], [0.000, 0.000, 0.500], [0.000, 0.500, 0.000], [0.500, 0.000, 0.000], [0.500, 0.500, 0.500]],
  "ef_ev_per_atom": 1.989,
  "crystal_system": "cubic",
  "volume_a3_per_atom": 17.91
}

---

Record 4
{
  "formula": "Hf2Cr2Pd",
  "functional": "GGA-PBE",
  "state": "relaxed",
  "lattice_angstrom": [[6.500, 0.000, 0.000], [0.000, 6.500, 0.000], [0.000, 0.000, 4.004]],
  "species": ["Hf", "Hf", "Hf", "Hf", "Cr", "Cr", "Cr", "Cr", "Pd", "Pd"],
  "fractional_positions": [[0.182, 0.318, 0.000], [0.318, 0.818, 0.000], [0.682, 0.182, 0.000], [0.818, 0.682, 0.000], [0.107, 0.607, 0.500], [0.393, 0.107, 0.500], [0.607, 0.893, 0.500], [0.893, 0.393, 0.500], [0.000, 0.000, 0.500], [0.500, 0.500, 0.500]],
  "ef_ev_per_atom": -0.037,
  "crystal_system": "tetragonal",
  "volume_a3_per_atom": 16.92
}

---

Record 5
{
  "formula": "HfCrPdSe2",
  "functional": "GGA-PBE",
  "state": "relaxed",
  "lattice_angstrom": [[5.044, 0.000, 0.000], [0.000, 5.044, 0.000], [0.000, 0.000, 5.370]],
  "species": ["Hf", "Cr", "Pd", "Se", "Se"],
  "fractional_positions": [[0.000, 0.000, 0.000], [0.000, 0.000, 0.500], [0.500, 0.500, 0.500], [0.000, 0.500, 0.000], [0.500, 0.000, 0.000]],
  "crystal_system": "tetragonal",
  "volume_a3_per_atom": 27.33,
  "raw_formation_energy_mev_per_atom": 556
}

---

Record 6
{
  "formula": "HfTaCrPd2",
  "functional": "GGA-PBE",
  "state": "relaxed",
  "lattice_angstrom": [[4.747, 0.000, 0.000], [0.000, 4.747, 0.000], [0.000, 0.000, 5.063]],
  "species": ["Hf", "Ta", "Cr", "Pd", "Pd"],
  "fractional_positions": [[0.000, 0.000, 0.000], [0.000, 0.000, 0.500], [0.500, 0.500, 0.000], [0.000, 0.500, 0.500], [0.500, 0.000, 0.500]],
  "ef_ev_per_atom": 1.554,
  "crystal_system": "tetragonal",
  "volume_a3_per_atom": 22.81
}

---

Record 7
{
  "formula": "PmHfCr2S6",
  "functional": "GGA-PBE",
  "state": "relaxed",
  "lattice_angstrom": [[6.444, 0.000, 0.000], [3.221, 5.581, 0.000], [3.220, -1.853, 5.755]],
  "species": ["Pm", "Hf", "Cr", "Cr", "S", "S", "S", "S", "S", "S"],
  "fractional_positions": [[0.000, 0.000, 0.000], [0.970, 0.515, 0.545], [0.582, 0.709, 0.127], [0.597, 0.202, 0.605], [0.089, 0.811, 0.353], [0.096, 0.550, 0.842], [0.458, 0.100, 0.353], [0.514, 0.937, 0.841], [0.708, 0.355, 0.842], [0.748, 0.441, 0.353]],
  "crystal_system": "triclinic",
  "volume_a3_per_atom": 20.69,
  "raw_formation_energy_mev_per_atom": -1182
}

---

Record 8
{
  "formula": "Hf2CrPt",
  "functional": "GGA-PBE",
  "state": "relaxed",
  "lattice_angstrom": [[-2.088, 2.088, 9.207], [2.088, -2.088, 9.207], [2.088, 2.088, -9.207]],
  "species": ["Hf", "Hf", "Hf", "Hf", "Cr", "Cr", "Pt", "Pt"],
  "fractional_positions": [[0.124, 0.625, 0.999], [0.375, 0.374, 0.499], [0.626, 0.125, 0.001], [0.875, 0.876, 0.501], [0.250, 0.750, 0.500], [0.500, 0.500, 0.000], [0.000, 0.000, 0.000], [0.750, 0.250, 0.500]],
  "ef_ev_per_atom": 0.228,
  "crystal_system": "tetragonal",
  "volume_a3_per_atom": 20.08
}

---

Record 9
{
  "formula": "HfCrPt6",
  "functional": "GGA-PBE",
  "state": "relaxed",
  "lattice_angstrom": [[3.979, 0.000, 0.000], [0.000, 3.979, 0.000], [0.000, 0.000, 7.974]],
  "species": ["Hf", "Cr", "Pt", "Pt", "Pt", "Pt", "Pt", "Pt"],
  "fractional_positions": [[0.000, 0.000, 0.000], [0.000, 0.000, 0.500], [0.000, 0.500, 0.253], [0.000, 0.500, 0.747], [0.500, 0.000, 0.253], [0.500, 0.000, 0.747], [0.500, 0.500, 0.000], [0.500, 0.500, 0.500]],
  "ef_ev_per_atom": -0.679,
  "crystal_system": "tetragonal",
  "volume_a3_per_atom": 15.78
}

---

Record 10
{
  "formula": "Hf2CrPt9",
  "functional": "GGA-PBE",
  "state": "relaxed",
  "lattice_angstrom": [[4.000, 0.000, 0.000], [0.000, 4.000, 0.000], [0.000, 0.000, 11.997]],
  "species": ["Hf", "Hf", "Cr", "Pt", "Pt", "Pt", "Pt", "Pt", "Pt", "Pt", "Pt", "Pt"],
  "fractional_positions": [[0.000, 0.000, 0.172], [0.000, 0.000, 0.828], [0.000, 0.000, 0.500], [0.000, 0.500, 0.000], [0.000, 0.500, 0.336], [0.000, 0.500, 0.664], [0.500, 0.000, 0.000], [0.500, 0.000, 0.336], [0.500, 0.000, 0.664], [0.500, 0.500, 0.168], [0.500, 0.500, 0.500], [0.500, 0.500, 0.832]],
  "ef_ev_per_atom": -0.822,
  "crystal_system": "tetragonal",
  "volume_a3_per_atom": 15.99
}

---

Record 11
{
  "formula": "Hf2CrPt",
  "functional": "GGA-PBE",
  "state": "relaxed",
  "lattice_angstrom": [[0.000, 3.254, 3.254], [3.254, 0.000, 3.254], [3.254, 3.254, 0.000]],
  "species": ["Hf", "Hf", "Cr", "Pt"],
  "fractional_positions": [[0.250, 0.250, 0.250], [0.750, 0.750, 0.750], [0.000, 0.000, 0.000], [0.500, 0.500, 0.500]],
  "ef_ev_per_atom": -0.472,
  "crystal_system": "cubic",
  "volume_a3_per_atom": 17.23
}

---

Record 12
{
  "formula": "Hf3CrPt",
  "functional": "GGA-PBE",
  "state": "relaxed",
  "lattice_angstrom": [[4.699, 0.000, 0.000], [0.000, 4.699, 0.000], [0.000, 0.000, 4.699]],
  "species": ["Hf", "Hf", "Hf", "Cr", "Pt"],
  "fractional_positions": [[0.000, 0.000, 0.500], [0.000, 0.500, 0.000], [0.500, 0.000, 0.000], [0.000, 0.000, 0.000], [0.500, 0.500, 0.500]],
  "ef_ev_per_atom": 0.444,
  "crystal_system": "cubic",
  "volume_a3_per_atom": 20.74
}

---

Here are the calculated E_tot numbers, same order: -29.3, -66.1, -34.1, -89.1, -29.0, -34.0, -70.5, -69.3, -61.3, -93.8, -37.5, -43.3 (eV/cell).